No. 1
Density functional theory data (PBE) for crystalline CaMnSe2 at its relaxed geometry.

Cell and atoms, written as POSCAR:
```
CaMnSe2
1.0
-1.633 -3.197 -3.404
-2.149 -2.687 3.555
-2.968 1.899 -0.359
Se Mn Ca
2 1 1
Cartesian
-1.891 -2.942 0.076
0.000 0.000 0.000
-2.559 -0.394 1.598
-2.301 -0.649 -1.881
```

Results
ρ: 4.84 g/cm3
Formation energy (no corrections): -73.8 kJ per mole of atoms

***

No. 2
Density functional theory data (PBE) for crystalline Ca3MnSe at its relaxed geometry.

Cell and atoms, written as POSCAR:
```
Ca3MnSe
1.0
-1.520 -4.666 -2.629
4.875 -2.337 1.329
-2.218 -1.939 4.724
Ca Se Mn
3 1 1
Cartesian
-0.760 -2.333 -1.315
-1.109 -0.970 2.362
2.437 -1.169 0.665
0.000 0.000 0.000
0.569 -4.471 1.712
```

Results
ρ: 2.45 g/cm3
Formation energy (no corrections): -26.5 kJ per mole of atoms

***

No. 3
Density functional theory data (PBE) for crystalline CaMn4Se8 at its relaxed geometry.

Cell and atoms, written as POSCAR:
```
CaMn4Se8
1.0
6.604 0.000 3.012
2.615 6.064 3.012
0.237 0.156 8.228
Se Mn Ca
8 4 1
Cartesian
5.608 1.562 9.479
3.655 4.531 9.479
2.522 1.659 3.217
2.374 1.562 8.005
5.802 1.689 4.772
3.849 4.658 4.772
7.082 4.658 6.247
6.934 4.561 11.035
1.308 3.032 1.506
0.000 0.000 0.000
3.302 0.000 1.506
4.610 3.032 3.012
4.728 3.110 7.126
```

Results
ρ: 4.58 g/cm3
Formation energy (no corrections): -63.0 kJ per mole of atoms

***

No. 4
Density functional theory data (PBE) for crystalline Ca2MnSe at its relaxed geometry.

Cell and atoms, written as POSCAR:
```
Ca2MnSe
1.0
-7.108 2.523 -2.896
-2.799 -7.574 0.271
-6.150 -1.961 2.115
Ca Mn Se
4 2 2
Cartesian
-6.552 0.219 -1.338
-3.952 -4.988 0.427
-13.368 -6.128 -0.702
-8.240 -3.127 0.593
-4.953 -2.525 -1.313
-6.951 -6.030 0.537
0.000 0.000 0.000
-9.105 -0.982 -1.047
```

Results
ρ: 2.96 g/cm3
Formation energy (no corrections): -24.6 kJ per mole of atoms

***

No. 5
Density functional theory data (PBE) for crystalline CaMnSe2 at its relaxed geometry.

Cell and atoms, written as POSCAR:
```
CaMnSe2
1.0
4.199 0.000 0.000
0.000 6.167 0.000
0.000 0.000 3.674
Mn Se Ca
1 2 1
Cartesian
0.000 3.083 1.837
2.100 3.083 0.000
0.000 0.000 0.000
2.100 0.000 1.837
```

Results
ρ: 4.41 g/cm3
Formation energy (no corrections): -75.9 kJ per mole of atoms

***

No. 6
Density functional theory data (PBE) for crystalline Ca2MnSe at its relaxed geometry.

Cell and atoms, written as POSCAR:
```
Ca2MnSe
1.0
-3.077 1.491 -2.401
1.469 -2.221 -3.261
-2.594 -5.539 -0.115
Mn Ca Se
1 2 1
Cartesian
-0.222 -4.210 -2.330
-2.013 -1.712 -2.118
-0.940 -7.253 -3.299
-2.716 -4.735 -3.095
```

Results
ρ: 3.52 g/cm3
Formation energy (no corrections): -54.9 kJ per mole of atoms